Run i
Below is crystalline YTmPO at its relaxed geometry, with properties calculated at the PBE level.

a b c (Å): 12.854 12.854 12.854
angles (deg): 17.35 17.35 17.35
Element x y z (fractional)
Y 0.129 0.129 0.129
Y 0.871 0.871 0.871
Tm 0.293 0.293 0.293
Tm 0.707 0.707 0.707
P 0.411 0.411 0.411
P 0.589 0.589 0.589
O 0.189 0.189 0.189
O 0.811 0.811 0.811

Values from the calculation:
As for the space group: R-3m.

---

Run ii
Below is crystalline YTmPO at its relaxed geometry, with properties calculated at the PBE level.

a b c (Å): 4.301 4.301 8.383
angles (deg): 90.00 90.00 90.00
Element x y z (fractional)
Y 0.250 0.750 0.000
Y 0.750 0.250 0.000
Tm 0.250 0.250 0.404
Tm 0.750 0.750 0.596
P 0.250 0.250 0.798
P 0.750 0.750 0.202
O 0.250 0.750 0.500
O 0.750 0.250 0.500

Values from the calculation:
As for the space group: P4/nmm.

---

So which one is most stable? That would be run i, about 223 meV per atom below the next structure.

---

Run i
Below is crystalline YTmPO at its relaxed geometry, with properties calculated at the PBE level.

a b c (Å): 4.290 4.290 8.493
angles (deg): 90.00 90.00 90.00
Element x y z (fractional)
Y 0.250 0.250 0.106
Y 0.750 0.750 0.894
Tm 0.250 0.750 0.500
Tm 0.750 0.250 0.500
P 0.250 0.250 0.692
P 0.750 0.750 0.308
O 0.250 0.750 0.000
O 0.750 0.250 0.000

Values from the calculation:
As for the space group: P4/nmm.

---

Run ii
Below is crystalline YTmPO at its relaxed geometry, with properties calculated at the PBE level.

a b c (Å): 4.126 7.553 5.433
angles (deg): 90.00 90.00 90.00
Element x y z (fractional)
Y 0.000 0.132 0.000
Y 0.000 0.868 0.500
Tm 0.500 0.289 0.474
Tm 0.500 0.711 0.974
P 0.500 0.352 0.972
P 0.500 0.648 0.472
O 0.000 0.170 0.448
O 0.000 0.830 0.948

Values from the calculation:
As for the space group: Pmc2_1.

---

So which one is most stable? That would be run ii, about 88 meV per atom below the next structure.

---

Run i
Below is crystalline TmZrPO at its relaxed geometry, with properties calculated at the PBE level.

a b c (Å): 4.111 4.111 8.411
angles (deg): 90.00 90.00 90.00
Element x y z (fractional)
Tm 0.250 0.250 0.112
Tm 0.750 0.750 0.888
Zr 0.250 0.750 0.500
Zr 0.750 0.250 0.500
P 0.250 0.250 0.693
P 0.750 0.750 0.307
O 0.250 0.750 0.000
O 0.750 0.250 0.000

Values from the calculation:
As for the space group: P4/nmm.

---

Run ii
Below is crystalline TmZrPO at its relaxed geometry, with properties calculated at the PBE level.

a b c (Å): 4.160 7.230 4.968
angles (deg): 90.00 90.00 90.00
Element x y z (fractional)
Tm 0.000 0.151 0.000
Tm 0.000 0.849 0.500
Zr 0.500 0.250 0.499
Zr 0.500 0.750 0.999
P 0.500 0.382 0.999
P 0.500 0.618 0.499
O 0.000 0.162 0.498
O 0.000 0.838 0.998

Values from the calculation:
As for the space group: Pmc2_1.

---

Run iii
Below is crystalline TmZrPO at its relaxed geometry, with properties calculated at the PBE level.

a b c (Å): 3.985 3.985 8.325
angles (deg): 90.00 90.00 90.00
Element x y z (fractional)
Tm 0.250 0.750 0.000
Tm 0.750 0.250 0.000
Zr 0.250 0.250 0.371
Zr 0.750 0.750 0.629
P 0.250 0.250 0.776
P 0.750 0.750 0.224
O 0.250 0.750 0.500
O 0.750 0.250 0.500

Values from the calculation:
As for the space group: P4/nmm.

---

So which one is most stable? That would be run i, about 186 meV per atom below the next structure.

---

Run i
Below is crystalline Zn2P2O7 at its relaxed geometry, with properties calculated at the PBE level.

a b c (Å): 4.878 13.312 16.482
angles (deg): 90.00 90.00 90.00
Element x y z (fractional)
Zn 0.089 0.045 0.087
Zn 0.089 0.045 0.413
Zn 0.089 0.455 0.587
Zn 0.089 0.455 0.913
Zn 0.317 0.242 0.656
Zn 0.317 0.242 0.844
Zn 0.317 0.258 0.156
Zn 0.317 0.258 0.344
Zn 0.683 0.742 0.656
Zn 0.683 0.742 0.844
Zn 0.683 0.758 0.156
Zn 0.683 0.758 0.344
Zn 0.911 0.545 0.087
Zn 0.911 0.545 0.413
Zn 0.911 0.955 0.587
Zn 0.911 0.955 0.913
P 0.031 0.059 0.750
P 0.031 0.441 0.250
P 0.179 0.648 0.250
P 0.179 0.852 0.750
P 0.422 0.643 0.503
P 0.422 0.643 0.997
P 0.422 0.857 0.003
P 0.422 0.857 0.497
P 0.578 0.143 0.503
P 0.578 0.143 0.997
P 0.578 0.357 0.003
P 0.578 0.357 0.497
P 0.821 0.148 0.250
P 0.821 0.352 0.750
P 0.969 0.559 0.750
P 0.969 0.941 0.250
O 0.019 0.667 0.171
O 0.019 0.667 0.329
O 0.019 0.833 0.671
O 0.019 0.833 0.829
O 0.135 0.551 0.673
O 0.135 0.551 0.827
O 0.135 0.949 0.173
O 0.135 0.949 0.327
O 0.196 0.564 0.002
O 0.196 0.564 0.498
O 0.196 0.936 0.502
O 0.196 0.936 0.998
O 0.206 0.154 0.750
O 0.206 0.346 0.250
O 0.261 0.532 0.250
O 0.261 0.750 0.000
O 0.261 0.750 0.500
O 0.261 0.968 0.750
O 0.403 0.141 0.075
O 0.403 0.141 0.425
O 0.403 0.359 0.575
O 0.403 0.359 0.925
O 0.407 0.136 0.579
O 0.407 0.136 0.921
O 0.407 0.364 0.079
O 0.407 0.364 0.421
O 0.449 0.706 0.250
O 0.449 0.794 0.750
O 0.551 0.206 0.250
O 0.551 0.294 0.750
O 0.593 0.636 0.579
O 0.593 0.636 0.921
O 0.593 0.864 0.079
O 0.593 0.864 0.421
O 0.597 0.641 0.075
O 0.597 0.641 0.425
O 0.597 0.859 0.575
O 0.597 0.859 0.925
O 0.739 0.032 0.250
O 0.739 0.250 0.000
O 0.739 0.250 0.500
O 0.739 0.468 0.750
O 0.794 0.654 0.750
O 0.794 0.846 0.250
O 0.804 0.064 0.002
O 0.804 0.064 0.498
O 0.804 0.436 0.502
O 0.804 0.436 0.998
O 0.865 0.051 0.673
O 0.865 0.051 0.827
O 0.865 0.449 0.173
O 0.865 0.449 0.327
O 0.981 0.167 0.171
O 0.981 0.167 0.329
O 0.981 0.333 0.671
O 0.981 0.333 0.829

Values from the calculation:
As for the space group: Pbcm.

---

Run ii
Below is crystalline Zn2P2O7 at its relaxed geometry, with properties calculated at the PBE level.

a b c (Å): 5.284 5.284 4.491
angles (deg): 98.93 98.93 103.33
Element x y z (fractional)
Zn 0.191 0.809 0.000
Zn 0.809 0.191 0.000
P 0.283 0.283 0.593
P 0.717 0.717 0.407
O 0.118 0.118 0.285
O 0.122 0.430 0.778
O 0.430 0.122 0.778
O 0.500 0.500 0.500
O 0.570 0.878 0.222
O 0.878 0.570 0.222
O 0.882 0.882 0.715

Values from the calculation:
As for the space group: C2/m.

---

Run iii
Below is crystalline Zn2P2O7 at its relaxed geometry, with properties calculated at the PBE level.

a b c (Å): 5.250 5.250 6.914
angles (deg): 106.70 106.70 55.46
Element x y z (fractional)
Zn 0.206 0.206 0.158
Zn 0.794 0.794 0.842
P 0.102 0.057 0.709
P 0.943 0.898 0.291
O 0.027 0.593 0.340
O 0.125 0.796 0.780
O 0.204 0.875 0.220
O 0.407 0.973 0.660
O 0.644 0.033 0.126
O 0.851 0.149 0.500
O 0.967 0.356 0.874

Values from the calculation:
As for the space group: C2.

---

So which one is most stable? That would be run i, about 30 meV per atom below the next structure.

---

Run i
Below is crystalline Zn2P2O7 at its relaxed geometry, with properties calculated at the PBE level.

a b c (Å): 10.638 10.638 9.081
angles (deg): 99.64 99.64 45.81
Element x y z (fractional)
Zn 0.130 0.507 0.295
Zn 0.151 0.522 0.838
Zn 0.177 0.799 0.966
Zn 0.201 0.823 0.534
Zn 0.478 0.849 0.662
Zn 0.493 0.870 0.205
Zn 0.507 0.130 0.795
Zn 0.522 0.151 0.338
Zn 0.799 0.177 0.466
Zn 0.823 0.201 0.034
Zn 0.849 0.478 0.162
Zn 0.870 0.493 0.705
P 0.094 0.107 0.315
P 0.107 0.094 0.815
P 0.220 0.257 0.537
P 0.257 0.220 0.037
P 0.415 0.451 0.136
P 0.451 0.415 0.636
P 0.549 0.585 0.364
P 0.585 0.549 0.864
P 0.743 0.780 0.963
P 0.780 0.743 0.463
P 0.893 0.906 0.185
P 0.906 0.893 0.685
O 0.030 0.047 0.898
O 0.030 0.739 0.264
O 0.047 0.030 0.398
O 0.062 0.754 0.788
O 0.092 0.379 0.117
O 0.092 0.415 0.645
O 0.106 0.221 0.446
O 0.221 0.106 0.946
O 0.246 0.938 0.712
O 0.257 0.576 0.026
O 0.261 0.970 0.236
O 0.279 0.300 0.428
O 0.300 0.279 0.928
O 0.307 0.586 0.564
O 0.372 0.380 0.232
O 0.379 0.092 0.617
O 0.380 0.372 0.732
O 0.414 0.693 0.936
O 0.415 0.092 0.145
O 0.417 0.583 0.250
O 0.424 0.743 0.474
O 0.576 0.257 0.526
O 0.583 0.417 0.750
O 0.585 0.908 0.855
O 0.586 0.307 0.064
O 0.620 0.628 0.268
O 0.621 0.908 0.383
O 0.628 0.620 0.768
O 0.693 0.414 0.436
O 0.700 0.721 0.072
O 0.721 0.700 0.572
O 0.739 0.030 0.764
O 0.743 0.424 0.974
O 0.754 0.062 0.288
O 0.779 0.894 0.054
O 0.894 0.779 0.554
O 0.908 0.585 0.355
O 0.908 0.621 0.883
O 0.938 0.246 0.212
O 0.953 0.970 0.602
O 0.970 0.261 0.736
O 0.970 0.953 0.102

Values from the calculation:
As for the space group: C2/c.

---

Run ii
Below is crystalline Zn2P2O7 at its relaxed geometry, with properties calculated at the PBE level.

a b c (Å): 4.488 5.215 5.386
angles (deg): 103.33 98.62 99.00
Element x y z (fractional)
Zn 0.000 0.000 0.000
Zn 0.022 0.366 0.601
P 0.423 0.900 0.510
P 0.608 0.467 0.078
O 0.236 0.069 0.375
O 0.241 0.742 0.662
O 0.300 0.296 0.919
O 0.520 0.699 0.282
O 0.729 0.065 0.678
O 0.791 0.305 0.224
O 0.796 0.611 0.917

Values from the calculation:
As for the space group: P1.

---

So which one is most stable? That would be run i, about 7 meV per atom below the next structure.

---

Run i
Below is crystalline Pa2Pd2O5 at its relaxed geometry, with properties calculated at the PBE level.

a b c (Å): 4.121 4.121 8.693
angles (deg): 90.00 90.00 90.00
Element x y z (fractional)
Pa 0.000 0.000 0.247
Pa 0.000 0.000 0.753
Pd 0.500 0.500 0.000
Pd 0.500 0.500 0.500
O 0.000 0.000 0.000
O 0.000 0.500 0.321
O 0.000 0.500 0.679
O 0.500 0.000 0.321
O 0.500 0.000 0.679

Values from the calculation:
As for the space group: P4/mmm.

---

Run ii
Below is crystalline Pa2Pd2O5 at its relaxed geometry, with properties calculated at the PBE level.

a b c (Å): 4.108 4.108 6.771
angles (deg): 90.00 90.00 90.00
Element x y z (fractional)
Pa 0.000 0.000 0.000
Pa 0.000 0.000 0.500
Pd 0.500 0.500 0.192
Pd 0.500 0.500 0.808
O 0.000 0.500 0.239
O 0.000 0.500 0.761
O 0.500 0.000 0.239
O 0.500 0.000 0.761
O 0.500 0.500 0.500

Values from the calculation:
As for the space group: P4/mmm.

---

So which one is most stable? That would be run i, about 392 meV per atom below the next structure.

---

Run i
Below is crystalline Pm2Pa2O5 at its relaxed geometry, with properties calculated at the PBE level.

a b c (Å): 4.419 4.419 7.423
angles (deg): 90.00 90.00 90.00
Element x y z (fractional)
Pm 0.000 0.000 0.000
Pm 0.000 0.000 0.500
Pa 0.500 0.500 0.208
Pa 0.500 0.500 0.792
O 0.000 0.500 0.287
O 0.000 0.500 0.713
O 0.500 0.000 0.287
O 0.500 0.000 0.713
O 0.500 0.500 0.500

Values from the calculation:
As for the space group: P4/mmm.

---

Run ii
Below is crystalline Pm2Pa2O5 at its relaxed geometry, with properties calculated at the PBE level.

a b c (Å): 4.530 4.530 7.289
angles (deg): 90.00 90.00 90.00
Element x y z (fractional)
Pm 0.000 0.000 0.208
Pm 0.000 0.000 0.792
Pa 0.500 0.500 0.000
Pa 0.500 0.500 0.500
O 0.000 0.000 0.500
O 0.000 0.500 0.222
O 0.000 0.500 0.778
O 0.500 0.000 0.222
O 0.500 0.000 0.778

Values from the calculation:
As for the space group: P4/mmm.

---

So which one is most stable? That would be run i, about 213 meV per atom below the next structure.